This record from Alexandria describes a relaxed structure of NiSnSeO2. The functional is GGA+U.

a = 3.968 Å, b = 3.968 Å, c = 4.547 Å
α = 90.00°, β = 90.00°, γ = 90.00°
Positions (direct):
Ni  0.000  0.000  0.000
Sn  0.500  0.500  0.000
Se  0.000  0.000  0.500
O  0.000  0.500  0.500
O  0.500  0.000  0.500

Properties
Space group: P4/mmm (123)
Uncorrected energy, Ha/atom: -0.1441
N(E_F), states/eV/cell: 0.74